Entry 1:
Material: Bi3WC
Method: DFT, PBE
State: optimized geometry

a b c (Å): 5.374 5.374 5.374
angles (deg): 90.00 90.00 90.00
Space group Pm-3m (No. 221)
Asymmetric unit:
Bi  0.000  0.000  0.500 x3
W  0.000  0.000  0.000 x1
C  0.500  0.500  0.500 x1

## Properties
ΔE to the lowest computed polymorph = 262.1 meV per atom
crystal system = cubic
ΔE_f = 1.93 eV/atom
spin magnetization = 1.5 μB/cell



Entry 2:
Material: TbSO
Method: DFT, PBE
State: optimized geometry

a b c (Å): 7.1001 7.1001 3.6813
angles (deg): 90.00 90.00 120.00
Space group P-62m (No. 189)
Asymmetric unit:
Tb  0.0000  0.0000  0.0000 x1
Tb  0.3333  0.6667  0.5000 x2
S  0.0000  0.2667  0.5000 x3
O  0.0000  0.5639  0.0000 x3

## Properties
crystal system = hexagonal
formation energy (no corrections) = -4.61 eV per formula unit
spin magnetization = 2.9 μB/cell



Entry 3:
Material: Sm6ErIn3
Method: DFT, PBE
State: optimized geometry

a b c (Å): 10.464 5.153 11.282
angles (deg): 90.00 96.31 90.00
Space group P2_1/m (No. 11)
Asymmetric unit:
Sm  0.045  0.250  0.403 x2
Sm  0.135  0.750  0.189 x2
Sm  0.228  0.250  0.984 x2
Sm  0.325  0.750  0.782 x2
Sm  0.356  0.250  0.282 x2
Sm  0.433  0.250  0.590 x2
Er  0.452  0.750  0.094 x2
In  0.047  0.750  0.890 x2
In  0.142  0.250  0.692 x2
In  0.253  0.750  0.475 x2

## Properties
ΔE to the lowest computed polymorph = 0.0 meV per atom
crystal system = monoclinic
ΔE_f = -0.26 eV/atom
spin magnetization = 0.0 μB/cell



Entry 4:
Material: BeAgSb2
Method: DFT, PBE
State: optimized geometry

a b c (Å): 3.283 3.378 7.973
angles (deg): 90.00 90.00 90.00
Space group Pmm2 (No. 25)
Asymmetric unit:
Be  0.000  0.000  0.000 x1
Ag  0.500  0.500  0.860 x1
Sb  0.000  0.000  0.629 x1
Sb  0.500  0.500  0.206 x1

## Properties
crystal system = orthorhombic
formation energy (no corrections) = 1.21 eV per formula unit
spin magnetization = 0.0 μB/cell



Entry 5:
Material: BiHOs2
Method: DFT, PBE
State: optimized geometry

a b c (Å): 6.245 6.245 6.245
angles (deg): 90.00 90.00 90.00
Space group Fm-3m (No. 225)
Asymmetric unit:
Bi  0.000  0.000  0.000 x4
H  0.000  0.000  0.500 x4
Os  0.250  0.250  0.250 x8

## Properties
ΔE to the lowest computed polymorph = 705.6 meV per atom
crystal system = cubic
spin magnetization = 0.0 μB/cell



Entry 6:
Material: Li2ThIn2Ag2
Method: DFT, PBE
State: optimized geometry

a b c (Å): 8.677 4.597 7.649
angles (deg): 90.00 99.94 90.00
Space group C2/m (No. 12)
Asymmetric unit:
Li  0.121  0.000  0.428 x4
Th  0.000  0.000  0.000 x2
In  0.215  0.500  0.226 x4
Ag  0.092  0.500  0.692 x4

## Properties
crystal system = monoclinic
ΔE_f = -0.18 eV/atom
spin magnetization = 0.0 μB/cell



Entry 7:
Material: Ac3La3In2Sn
Method: DFT, PBE
State: optimized geometry

a b c (Å): 9.1095 9.1095 4.5179
angles (deg): 90.00 90.00 120.00
Space group P-62m (No. 189)
Asymmetric unit:
Ac  0.0000  0.7239  0.0000 x3
La  0.0000  0.3958  0.5000 x3
In  0.3333  0.6667  0.0000 x2
Sn  0.0000  0.0000  0.5000 x1

## Properties
crystal system = hexagonal
ΔE_f = -0.36 eV/atom
spin magnetization = 0.0 μB/cell



Entry 8:
Material: MnSe2Br
Method: DFT, PBE
State: optimized geometry

a b c (Å): 4.983 9.786 4.449
angles (deg): 90.00 90.00 90.00
Space group Cmmm (No. 65)
Asymmetric unit:
Mn  0.000  0.000  0.000 x2
Se  0.250  0.250  0.500 x4
Br  0.000  0.500  0.000 x2

## Properties
ΔE to the lowest computed polymorph = 670.4 meV per atom
crystal system = orthorhombic
formation energy (no corrections) = 1.24 eV per formula unit
spin magnetization = 8.2 μB/cell



Entry 9:
Material: ScCd2Ru
Method: DFT, PBE
State: optimized geometry

a b c (Å): 4.022 4.022 9.084
angles (deg): 90.00 90.00 90.00
Space group I4/mmm (No. 139)
Asymmetric unit:
Sc  0.000  0.000  0.000 x2
Cd  0.000  0.500  0.250 x4
Ru  0.000  0.000  0.500 x2

## Properties
crystal system = tetragonal
ΔE_f = -0.20 eV/atom
spin magnetization = 0.0 μB/cell



Entry 10:
Material: MgPbS2
Method: DFT, PBE
State: optimized geometry

a b c (Å): 6.280 6.280 11.768
angles (deg): 90.00 90.00 90.00
Space group I-42d (No. 122)
Asymmetric unit:
Mg  0.000  0.000  0.000 x4
Pb  0.000  0.000  0.500 x4
S  0.196  0.250  0.125 x8

## Properties
crystal system = tetragonal
formation energy (no corrections) = -3.33 eV per formula unit
spin magnetization = 0.0 μB/cell



Entry 11:
Material: K2BeF4
Method: DFT, PBE
State: optimized geometry

a b c (Å): 7.403 5.768 10.034
angles (deg): 90.00 90.00 90.00
Space group Pnma (No. 62)
Asymmetric unit:
K  0.009  0.250  0.194 x4
K  0.161  0.750  0.412 x4
Be  0.234  0.750  0.080 x4
F  0.023  0.750  0.080 x4
F  0.188  0.250  0.434 x4
F  0.195  0.028  0.653 x8

## Properties
ΔE to the lowest computed polymorph = 0.0 meV per atom
crystal system = orthorhombic
formation energy (no corrections) = -21.62 eV per formula unit
spin magnetization = 0.4 μB/cell



Entry 12:
Material: Ce4Ga12Re
Method: DFT, PBE
State: optimized geometry

a b c (Å): 8.731 8.731 8.731
angles (deg): 90.00 90.00 90.00
Space group Im-3m (No. 229)
Asymmetric unit:
Ce  0.250  0.250  0.250 x8
Ga  0.000  0.000  0.292 x12
Ga  0.000  0.250  0.500 x12
Re  0.000  0.000  0.000 x2

## Properties
crystal system = cubic
ΔE_f = -0.52 eV/atom
spin magnetization = 0.9 μB/cell